Model A:
# Fe2SN

A relaxed structure of Fe2SN (PBE, the Alexandria database).

Cell lengths 4.5290, 4.5290, 5.6375 Å; angles 66.32, 66.32, 90.00 degrees
Fractional positions:
Fe1 0.8750 0.8110 0.7500
Fe2 0.1890 0.6250 0.2500
Fe3 0.5610 0.1250 0.2500
Fe4 0.3750 0.4390 0.7500
N1 0.5000 0.5000 0.0000
N2 0.2500 0.7500 0.5000
S1 0.0000 0.0000 0.0000
S2 0.7500 0.2500 0.5000

As for the space-group type: I-42d, No. 122. The density comes out at 5506 kg/m³.

Model B:
# Fe2SN

A relaxed structure of Fe2SN (PBE, the Alexandria database).

Cell lengths 3.7681, 3.7681, 3.7681 Å; angles 60.00, 60.00, 60.00 degrees
Fractional positions:
Fe1 0.2500 0.2500 0.2500
Fe2 0.7500 0.7500 0.7500
N1 0.0000 0.0000 0.0000
S1 0.5000 0.5000 0.5000

As for the space-group type: Fm-3m, No. 225. The density comes out at 6924 kg/m³.

Winner for stability: model A

Model A:
# FeSbS2N

A relaxed structure of FeSbS2N (PBE, the Alexandria database).

Cell lengths 4.7382, 4.7382, 3.4710 Å; angles 90.00, 90.00, 90.00 degrees
Fractional positions:
Fe1 0.0000 0.0000 0.0000
S1 0.5000 0.0000 0.0000
S2 0.0000 0.5000 0.0000
N1 0.0000 0.0000 0.5000
Sb1 0.5000 0.5000 0.5000

As for the space-group type: P4/mmm, No. 123. The density comes out at 5450 kg/m³.

Model B:
# FeSbS2N

A relaxed structure of FeSbS2N (PBE, the Alexandria database).

Cell lengths 5.0543, 5.0543, 3.8736 Å; angles 90.00, 90.00, 90.00 degrees
Fractional positions:
S1 0.5000 0.0000 0.0000
S2 0.0000 0.5000 0.0000
Fe1 0.5000 0.5000 0.5000
N1 0.0000 0.0000 0.5000
Sb1 0.0000 0.0000 0.0000

As for the space-group type: P4/mmm, No. 123. The density comes out at 4292 kg/m³.

Winner for stability: model A

Model A:
# ScFeSN2

A relaxed structure of ScFeSN2 (PBE, the Alexandria database).

Cell lengths 3.9875, 3.9875, 5.2310 Å; angles 90.00, 90.00, 90.00 degrees
Fractional positions:
Sc1 0.0000 0.0000 0.0000
N1 0.5000 0.0000 0.0000
N2 0.0000 0.5000 0.0000
S1 0.0000 0.0000 0.5000
Fe1 0.5000 0.5000 0.5000

As for the space-group type: P4/mmm, No. 123. The density comes out at 3212 kg/m³.

Model B:
# ScFeSN2

A relaxed structure of ScFeSN2 (PBE, the Alexandria database).

Cell lengths 3.6527, 3.6527, 4.6756 Å; angles 90.00, 90.00, 90.00 degrees
Fractional positions:
S1 0.0000 0.0000 0.5000
N1 0.0000 0.5000 0.0000
N2 0.5000 0.0000 0.0000
Sc1 0.5000 0.5000 0.5000
Fe1 0.0000 0.0000 0.0000

As for the space-group type: P4/mmm, No. 123. The density comes out at 4282 kg/m³.

Winner for stability: model B

Model A:
# FeSeSN2

A relaxed structure of FeSeSN2 (PBE, the Alexandria database).

Cell lengths 3.5356, 3.5356, 5.6547 Å; angles 90.00, 90.00, 90.00 degrees
Fractional positions:
S1 0.5000 0.5000 0.5000
Se1 0.0000 0.0000 0.5000
N1 0.0000 0.5000 0.0000
N2 0.5000 0.0000 0.0000
Fe1 0.0000 0.0000 0.0000

As for the space-group type: P4/mmm, No. 123. The density comes out at 4578 kg/m³.

Model B:
# FeSeSN2

A relaxed structure of FeSeSN2 (PBE, the Alexandria database).

Cell lengths 3.3523, 3.3523, 7.7196 Å; angles 90.00, 90.00, 90.00 degrees
Fractional positions:
S1 0.0000 0.0000 0.0000
N1 0.0000 0.5000 0.0000
N2 0.5000 0.0000 0.0000
Se1 0.0000 0.0000 0.5000
Fe1 0.5000 0.5000 0.5000

As for the space-group type: P4/mmm, No. 123. The density comes out at 3730 kg/m³.

Model C:
# FeSeSN2

A relaxed structure of FeSeSN2 (PBE, the Alexandria database).

Cell lengths 3.6060, 3.6060, 6.6243 Å; angles 90.00, 90.00, 90.00 degrees
Fractional positions:
Se1 0.0000 0.0000 0.0000
N1 0.5000 0.0000 0.0000
N2 0.0000 0.5000 0.0000
S1 0.0000 0.0000 0.5000
Fe1 0.5000 0.5000 0.5000

As for the space-group type: P4/mmm, No. 123. The density comes out at 3757 kg/m³.

Winner for stability: model A

Model A:
# FeSnSN2

A relaxed structure of FeSnSN2 (PBE, the Alexandria database).

Cell lengths 4.0236, 4.0236, 5.3427 Å; angles 90.00, 90.00, 90.00 degrees
Fractional positions:
Fe1 0.5000 0.5000 0.5000
Sn1 0.0000 0.0000 0.0000
N1 0.5000 0.0000 0.0000
N2 0.0000 0.5000 0.0000
S1 0.0000 0.0000 0.5000

As for the space-group type: P4/mmm, No. 123. The density comes out at 4504 kg/m³.

Model B:
# FeSnSN2

A relaxed structure of FeSnSN2 (PBE, the Alexandria database).

Cell lengths 3.7328, 3.7328, 4.8721 Å; angles 90.00, 90.00, 90.00 degrees
Fractional positions:
Fe1 0.0000 0.0000 0.0000
N1 0.5000 0.0000 0.0000
N2 0.0000 0.5000 0.0000
S1 0.0000 0.0000 0.5000
Sn1 0.5000 0.5000 0.5000

As for the space-group type: P4/mmm, No. 123. The density comes out at 5739 kg/m³.

Winner for stability: model B

Model A:
# SrFeS2N

A relaxed structure of SrFeS2N (PBE, the Alexandria database).

Cell lengths 5.5565, 5.5565, 4.7064 Å; angles 90.00, 90.00, 90.00 degrees
Fractional positions:
Fe1 0.5000 0.5000 0.5000
N1 0.0000 0.0000 0.5000
S1 0.0000 0.5000 0.0000
S2 0.5000 0.0000 0.0000
Sr1 0.0000 0.0000 0.0000

As for the space-group type: P4/mmm, No. 123. The density comes out at 2532 kg/m³.

Model B:
# SrFeS2N

A relaxed structure of SrFeS2N (PBE, the Alexandria database).

Cell lengths 4.8862, 4.8862, 3.5656 Å; angles 90.00, 90.00, 90.00 degrees
Fractional positions:
Sr1 0.5000 0.5000 0.5000
S1 0.0000 0.5000 0.0000
S2 0.5000 0.0000 0.0000
Fe1 0.0000 0.0000 0.0000
N1 0.0000 0.0000 0.5000

As for the space-group type: P4/mmm, No. 123. The density comes out at 4323 kg/m³.

Winner for stability: model B